The following is a PBE calculation of crystalline Y2CrRu at its relaxed geometry, from Alexandria.

Unit cell a=3.4553 b=3.4553 c=26.6246 alpha=90.00 beta=90.00 gamma=120.00
Space group R-3m (No. 166, hexagonal axes)
Unique sites:
Y 0.0000 0.0000 0.2414 (multiplicity 6)
Cr 0.0000 0.0000 0.0000 (multiplicity 3)
Ru 0.0000 0.0000 0.5000 (multiplicity 3)

Properties
Energy of formation from the pure elements in eV/atom: 0.360
VASP energy in eV/atom: -7.5969

The following is a PBE calculation of crystalline MnIn2Ni at its relaxed geometry, from Alexandria.

Unit cell a=8.7785 b=3.1502 c=5.3050 alpha=90.00 beta=102.94 gamma=90.00
Space group C2/m (No. 12)
Unique sites:
Mn 0.0000 0.0000 0.0000 (multiplicity 2)
In 0.2414 0.0000 0.7363 (multiplicity 4)
Ni 0.0000 0.5000 0.5000 (multiplicity 2)

Properties
Energy of formation from the pure elements in eV/atom: 0.219
VASP energy in eV/atom: -4.8875

The following is a PBE calculation of crystalline TmTlCuSe2 at its relaxed geometry, from Alexandria.

Unit cell a=6.5835 b=5.8866 c=7.5478 alpha=90.00 beta=104.19 gamma=90.00
Space group P2/c (No. 13)
Unique sites:
Tm 0.0000 0.0409 0.2500 (multiplicity 2)
Tl 0.5000 0.2981 0.2500 (multiplicity 2)
Cu 0.0000 0.5000 0.0000 (multiplicity 2)
Se 0.2452 0.2110 0.5760 (multiplicity 4)

Properties
Raw formation energy in eV/f.u.: -3.54
VASP energy in eV/atom: -4.2889

The following is a PBE calculation of crystalline B3OsN at its relaxed geometry, from Alexandria.

Unit cell a=3.4399 b=3.4399 c=3.4399 alpha=90.00 beta=90.00 gamma=90.00
Space group Pm-3m (No. 221)
Unique sites:
B 0.0000 0.0000 0.5000 (multiplicity 3)
Os 0.5000 0.5000 0.5000 (multiplicity 1)
N 0.0000 0.0000 0.0000 (multiplicity 1)

Properties
Raw formation energy in eV/f.u.: 7.41
VASP energy in eV/atom: -6.4363

The following is a PBE calculation of crystalline KHgGeMo2 at its relaxed geometry, from Alexandria.

Unit cell a=5.3014 b=5.3014 c=5.6319 alpha=90.00 beta=90.00 gamma=90.00
Space group P4/mmm (No. 123)
Unique sites:
K 0.0000 0.0000 0.0000 (multiplicity 1)
Hg 0.0000 0.0000 0.5000 (multiplicity 1)
Ge 0.5000 0.5000 0.0000 (multiplicity 1)
Mo 0.0000 0.5000 0.5000 (multiplicity 2)

Properties
Energy of formation from the pure elements in eV/atom: 1.937
VASP energy in eV/atom: -3.5985

The following is a PBE calculation of crystalline Mg2NbInO6 at its relaxed geometry, from Alexandria.

Unit cell a=5.3101 b=5.3101 c=14.3183 alpha=90.00 beta=90.00 gamma=120.00
Space group R3 (No. 146, hexagonal axes)
Unique sites:
Mg 0.0000 0.0000 0.0000 (multiplicity 3)
Mg 0.0000 0.0000 0.4966 (multiplicity 3)
Nb 0.0000 0.0000 0.2071 (multiplicity 3)
In 0.0000 0.0000 0.7130 (multiplicity 3)
O 0.0110 0.7153 0.1053 (multiplicity 9)
O 0.0271 0.3432 0.2670 (multiplicity 9)

Properties
Raw formation energy in eV/f.u.: -23.80
VASP energy in eV/atom: -6.9551

The following is a PBE calculation of crystalline LaPrBr2 at its relaxed geometry, from Alexandria.

Unit cell a=3.7652 b=3.7652 c=28.0546 alpha=90.00 beta=90.00 gamma=120.00
Space group R3m (No. 160, hexagonal axes)
Unique sites:
La 0.0000 0.0000 0.0000 (multiplicity 3)
Pr 0.0000 0.0000 0.8349 (multiplicity 3)
Br 0.0000 0.0000 0.4181 (multiplicity 3)
Br 0.0000 0.0000 0.5835 (multiplicity 3)

Properties
Raw formation energy in eV/f.u.: -4.92
VASP energy in eV/atom: -4.4925

The following is a PBE calculation of crystalline In2BPt6 at its relaxed geometry, from Alexandria.

Unit cell a=3.3919 b=7.1498 c=12.7722 alpha=90.00 beta=90.00 gamma=90.00
Space group Immm (No. 71)
Unique sites:
In 0.0000 0.0000 0.1374 (multiplicity 4)
B 0.0000 0.0000 0.5000 (multiplicity 2)
Pt 0.0000 0.1980 0.3309 (multiplicity 8)
Pt 0.0000 0.3084 0.0000 (multiplicity 4)

Properties
Energy of formation from the pure elements in eV/atom: -0.225
VASP energy in eV/atom: -5.6031

The following is a PBE calculation of crystalline RbVNiIr2 at its relaxed geometry, from Alexandria.

Unit cell a=4.8306 b=4.8306 c=4.3653 alpha=90.00 beta=90.00 gamma=90.00
Space group P4/mmm (No. 123)
Unique sites:
Rb 0.0000 0.0000 0.0000 (multiplicity 1)
V 0.5000 0.5000 0.5000 (multiplicity 1)
Ni 0.0000 0.0000 0.5000 (multiplicity 1)
Ir 0.0000 0.5000 0.0000 (multiplicity 2)

Properties
Energy of formation from the pure elements in eV/atom: 3.010
VASP energy in eV/atom: -3.7076

The following is a PBE calculation of crystalline MnBe3S at its relaxed geometry, from Alexandria.

Unit cell a=4.1518 b=4.1518 c=4.1518 alpha=90.00 beta=90.00 gamma=90.00
Space group Pm-3m (No. 221)
Unique sites:
Mn 0.0000 0.0000 0.0000 (multiplicity 1)
Be 0.0000 0.0000 0.5000 (multiplicity 3)
S 0.5000 0.5000 0.5000 (multiplicity 1)

Properties
Raw formation energy in eV/f.u.: 6.22
VASP energy in eV/atom: -3.6502

The following is a PBE calculation of crystalline LaPm3Dy2Se6 at its relaxed geometry, from Alexandria.

Unit cell a=7.2156 b=12.5525 c=7.2391 alpha=90.00 beta=109.54 gamma=90.00
Space group C2/m (No. 12)
Unique sites:
La 0.0000 0.0000 0.0000 (multiplicity 2)
Pm 0.0000 0.1608 0.5000 (multiplicity 4)
Pm 0.0000 0.5000 0.5000 (multiplicity 2)
Dy 0.0000 0.3329 0.0000 (multiplicity 4)
Se 0.2352 0.5000 0.2406 (multiplicity 4)
Se 0.2454 0.3277 0.7532 (multiplicity 8)

Properties
Raw formation energy in eV/f.u.: -22.01
VASP energy in eV/atom: -5.9413

The following is a PBE calculation of crystalline CuReOs2 at its relaxed geometry, from Alexandria.

Unit cell a=2.7972 b=4.4779 c=4.5599 alpha=90.00 beta=90.00 gamma=90.00
Space group Pmmm (No. 47)
Unique sites:
Cu 0.0000 0.0000 0.0000 (multiplicity 1)
Re 0.5000 0.0000 0.5000 (multiplicity 1)
Os 0.0000 0.5000 0.5000 (multiplicity 1)
Os 0.5000 0.5000 0.0000 (multiplicity 1)

Properties
Energy of formation from the pure elements in eV/atom: 0.571
VASP energy in eV/atom: -9.1798

The following is a PBE calculation of crystalline CsMnCr2Cl8 at its relaxed geometry, from Alexandria.

Unit cell a=6.5853 b=6.5853 c=27.9212 alpha=90.00 beta=90.00 gamma=120.00
Space group R-3 (No. 148, hexagonal axes)
Unique sites:
Cs 0.0000 0.0000 0.0000 (multiplicity 3)
Mn 0.0000 0.0000 0.5000 (multiplicity 3)
Cr 0.0000 0.0000 0.2328 (multiplicity 6)
Cl 0.0000 0.0000 0.3124 (multiplicity 6)
Cl 0.0064 0.3146 0.5518 (multiplicity 18)

Properties
Raw formation energy in eV/f.u.: -13.12
VASP energy in eV/atom: -4.7636

The following is a PBE calculation of crystalline Sr2ZrSc at its relaxed geometry, from Alexandria.

Unit cell a=5.4498 b=5.4498 c=9.1034 alpha=90.00 beta=90.00 gamma=90.00
Space group I-4m2 (No. 119)
Unique sites:
Sr 0.0000 0.0000 0.0000 (multiplicity 2)
Sr 0.0000 0.5000 0.2500 (multiplicity 2)
Zr 0.0000 0.5000 0.7500 (multiplicity 2)
Sc 0.0000 0.0000 0.5000 (multiplicity 2)

Properties
Energy of formation from the pure elements in eV/atom: 0.529
VASP energy in eV/atom: -4.0317